# 1
Below is CeTmTlCd after structural relaxation, with properties calculated at the GGA-PBE level.

Unit cell a=7.6035 b=7.6035 c=7.6035 alpha=90.00 beta=90.00 gamma=90.00
Sites, in units of the cell vectors:
Ce 0.0000 0.0000 0.0000
Ce 0.0000 0.5000 0.5000
Ce 0.5000 0.0000 0.5000
Ce 0.5000 0.5000 0.0000
Tm 0.0000 0.0000 0.5000
Tm 0.0000 0.5000 0.0000
Tm 0.5000 0.0000 0.0000
Tm 0.5000 0.5000 0.5000
Tl 0.2500 0.2500 0.7500
Tl 0.2500 0.7500 0.2500
Tl 0.7500 0.2500 0.2500
Tl 0.7500 0.7500 0.7500
Cd 0.2500 0.2500 0.2500
Cd 0.2500 0.7500 0.7500
Cd 0.7500 0.2500 0.7500
Cd 0.7500 0.7500 0.2500

Its space group is F-43m. Its calculated volume is 27.47 Å³ per atom. The density of states at the Fermi level is 2.580 states/eV/atom. The value obtained for the formation energy from the elements is -0.2419 eV per atom.



# 2
Below is Sm6RhSe5 after structural relaxation, with properties calculated at the GGA-PBE level.

Unit cell a=7.2494 b=7.2494 c=7.2232 alpha=99.67 beta=99.67 gamma=119.84
Sites, in units of the cell vectors:
Sm 0.0789 0.3992 0.7391
Sm 0.2393 0.2393 0.2561
Sm 0.3992 0.0789 0.7391
Sm 0.6008 0.9211 0.2609
Sm 0.7607 0.7607 0.7439
Sm 0.9211 0.6008 0.2609
Rh 0.0000 0.0000 0.5000
Se 0.1736 0.8264 0.0000
Se 0.3343 0.6657 0.5000
Se 0.5000 0.5000 0.0000
Se 0.6657 0.3343 0.5000
Se 0.8264 0.1736 0.0000

Its space group is C2/m. Its calculated volume is 25.85 Å³ per atom. The density of states at the Fermi level is 0.648 states/eV/atom. As for the formation energy (no corrections): -1.65 eV/atom.



# 3
Below is NaAc3P2N6 after structural relaxation, with properties calculated at the GGA-PBE level.

Unit cell a=5.8847 b=5.8847 c=6.6300 alpha=90.00 beta=90.00 gamma=120.00
Sites, in units of the cell vectors:
Na 0.0000 0.0000 0.0000
Ac 0.0000 0.0000 0.5000
Ac 0.3333 0.6667 0.1576
Ac 0.6667 0.3333 0.8424
P 0.3333 0.6667 0.7039
P 0.6667 0.3333 0.2961
N 0.1813 0.3626 0.7798
N 0.1813 0.8187 0.7798
N 0.3626 0.1813 0.2202
N 0.6374 0.8187 0.7798
N 0.8187 0.1813 0.2202
N 0.8187 0.6374 0.2202

Its space group is P-3m1. Its calculated volume is 16.57 Å³ per atom. The density of states at the Fermi level is 0.225 states/eV/atom. As for the formation energy (no corrections): -0.88 eV/atom.



# 4
Below is RbGe2Se2 after structural relaxation, with properties calculated at the GGA-PBE level.

Unit cell a=5.0249 b=5.0249 c=12.8046 alpha=90.00 beta=90.00 gamma=90.00
Sites, in units of the cell vectors:
Rb 0.0000 0.0000 0.0000
Rb 0.5000 0.5000 0.5000
Ge 0.0000 0.5000 0.2500
Ge 0.0000 0.5000 0.7500
Ge 0.5000 0.0000 0.2500
Ge 0.5000 0.0000 0.7500
Se 0.0000 0.0000 0.3428
Se 0.0000 0.0000 0.6572
Se 0.5000 0.5000 0.1572
Se 0.5000 0.5000 0.8428

Its space group is I4/mmm. Its calculated volume is 32.33 Å³ per atom. The density of states at the Fermi level is 0.270 states/eV/atom. As for the formation energy (no corrections): -0.25 eV/atom. The energy above the lowest structure with this stoichiometry comes out at 0.130 eV per atom.



# 5
Below is CeH3Rh after structural relaxation, with properties calculated at the GGA-PBE level.

Unit cell a=3.7349 b=3.7349 c=3.7349 alpha=90.00 beta=90.00 gamma=90.00
Sites, in units of the cell vectors:
Ce 0.0000 0.0000 0.0000
H 0.0000 0.5000 0.5000
H 0.5000 0.0000 0.5000
H 0.5000 0.5000 0.0000
Rh 0.5000 0.5000 0.5000

Its space group is Pm-3m. Its calculated volume is 10.42 Å³ per atom. The density of states at the Fermi level is 1.223 states/eV/atom. For the electronic total energy, the calculation gives -26.0 eV for the cell shown.



# 6
Below is Ti2GaF8 after structural relaxation, with properties calculated at the GGA-PBE level.

Unit cell a=6.2838 b=6.2838 c=5.1394 alpha=91.07 beta=91.07 gamma=61.65
Sites, in units of the cell vectors:
Ti 0.2275 0.2275 0.4965
Ti 0.7725 0.7725 0.5035
Ga 0.5000 0.5000 0.0000
F 0.1000 0.1000 0.7177
F 0.1338 0.5523 0.6313
F 0.2935 0.2935 0.1641
F 0.4477 0.8662 0.3687
F 0.5523 0.1338 0.6313
F 0.7065 0.7065 0.8359
F 0.8662 0.4477 0.3687
F 0.9000 0.9000 0.2823

Its space group is C2/m. Its calculated volume is 16.23 Å³ per atom. The density of states at the Fermi level is 0.523 states/eV/atom. As for the formation energy (no corrections): -2.97 eV/atom.



# 7
Below is AlCr2N2 after structural relaxation, with properties calculated at the GGA-PBE level.

Unit cell a=3.5000 b=3.5000 c=8.4447 alpha=90.00 beta=90.00 gamma=90.00
Sites, in units of the cell vectors:
Al 0.0000 0.0000 0.0000
Al 0.5000 0.5000 0.5000
Cr 0.0000 0.0000 0.3559
Cr 0.0000 0.0000 0.6441
Cr 0.5000 0.5000 0.1441
Cr 0.5000 0.5000 0.8559
N 0.0000 0.5000 0.2500
N 0.0000 0.5000 0.7500
N 0.5000 0.0000 0.2500
N 0.5000 0.0000 0.7500

Its space group is I4/mmm. Its calculated volume is 10.34 Å³ per atom. The density of states at the Fermi level is 0.750 states/eV/atom. As for the formation energy (no corrections): 0.13 eV/atom. The energy above the lowest structure with this stoichiometry comes out at 0.000 eV per atom.



# 8
Below is HfBPdRu2 after structural relaxation, with properties calculated at the GGA-PBE level.

Unit cell a=4.1667 b=4.1667 c=4.0964 alpha=90.00 beta=90.00 gamma=90.00
Sites, in units of the cell vectors:
Hf 0.0000 0.0000 0.0000
B 0.5000 0.5000 0.5000
Pd 0.5000 0.5000 0.0000
Ru 0.0000 0.5000 0.5000
Ru 0.5000 0.0000 0.5000

Its space group is P4/mmm. Its calculated volume is 14.22 Å³ per atom. The density of states at the Fermi level is 0.868 states/eV/atom. The value obtained for the formation energy from the elements is -0.4790 eV per atom.